Material: Ba2Li9Mg3
Method: DFT, PBE
State: relaxed

* E_tot: -1.85 eV per atom
* total magnetic moment: 0.00 μB per cell
* DFT formation energy: -0.008 eV/atom

Unit cell a=8.9304 b=8.9304 c=10.5953 alpha=90.00 beta=90.00 gamma=116.73
Last column: nearest neighbours and their distance in Å.
Sites, in units of the cell vectors:
Li  0.4512  0.6425  0.7500  6 Li 2.91-3.20, 2 Mg 3.02
Li  0.3447  0.0240  0.0882  3 Li 2.98-3.20, 3 Mg 3.05-3.13
Li  0.9760  0.6553  0.5882  3 Li 2.98-3.20, 3 Mg 3.05-3.13
Li  0.0240  0.3447  0.0882  3 Li 2.98-3.20, 3 Mg 3.05-3.13
Li  0.1693  0.1693  0.2500  8 Li 2.98-3.12, 2 Mg 3.09
Li  0.8307  0.8307  0.7500  8 Li 2.98-3.12, 2 Mg 3.09
Li  0.3575  0.5488  0.2500  6 Li 2.91-3.20, 2 Mg 3.02
Li  0.5488  0.3575  0.2500  6 Li 2.91-3.20, 2 Mg 3.02
Li  0.0240  0.3447  0.4118  3 Li 2.98-3.20, 3 Mg 3.05-3.13
Li  0.6553  0.9760  0.9118  3 Li 2.98-3.20, 3 Mg 3.05-3.13
Li  0.9760  0.6553  0.9118  3 Li 2.98-3.20, 3 Mg 3.05-3.13
Li  0.6553  0.9760  0.5882  3 Li 2.98-3.20, 3 Mg 3.05-3.13
Li  0.6526  0.6526  0.5007  6 Li 2.86-3.17, 2 Mg 3.17
Li  0.3474  0.3474  0.4993  6 Li 2.86-3.17, 2 Mg 3.17
Li  0.6526  0.6526  0.9993  6 Li 2.86-3.17, 2 Mg 3.17
Li  0.3447  0.0240  0.4118  3 Li 2.98-3.20, 3 Mg 3.05-3.13
Li  0.6425  0.4512  0.7500  6 Li 2.91-3.20, 2 Mg 3.02
Li  0.3474  0.3474  0.0007  6 Li 2.86-3.17, 2 Mg 3.17
Mg  0.0000  0.0000  0.5000  8 Li 3.09-3.25
Mg  0.0000  0.0000  0.0000  8 Li 3.09-3.25
Mg  0.6862  0.3138  0.0000  8 Li 3.02-3.17
Mg  0.6862  0.3138  0.5000  8 Li 3.02-3.17
Mg  0.3138  0.6862  0.0000  8 Li 3.02-3.17
Mg  0.3138  0.6862  0.5000  8 Li 3.02-3.17
Ba  0.3196  0.0163  0.7500  11 Li 3.59-4.01, 4 Mg 3.85-3.95
Ba  0.9837  0.6804  0.2500  11 Li 3.59-4.01, 4 Mg 3.85-3.95
Ba  0.6804  0.9837  0.2500  11 Li 3.59-4.01, 4 Mg 3.85-3.95
Ba  0.0163  0.3196  0.7500  11 Li 3.59-4.01, 4 Mg 3.85-3.95